Entry from the Alexandria database: a crystal of CaAlOs2 relaxed with PBEsol (meta-GGA SCAN).

Computed properties:
Energy relative to the elements = 498 meV/atom
Space group = No. 139

CIF file:
```
data_CaAlOs2
_chemical_formula_sum 'Ca1 Al1 Os2'
_cell_length_a 4.0111
_cell_length_b 4.0111
_cell_length_c 4.9040
_cell_angle_alpha 114.14
_cell_angle_beta 114.14
_cell_angle_gamma 90.00
_symmetry_space_group_name_H-M 'P 1'
_symmetry_Int_Tables_number 1
loop_
_symmetry_equiv_pos_as_xyz
'x,y,z'
loop_
_atom_site_label
_atom_site_fract_x
_atom_site_fract_y
_atom_site_fract_z
Ca1 0.0000 0.0000 0.0000
Os1 0.7500 0.2500 0.5000
Os2 0.2500 0.7500 0.5000
Al1 0.5000 0.5000 0.0000
```

---

Entry from the Alexandria database: a crystal of CaAlOs2 relaxed with PBEsol (meta-GGA SCAN).

Computed properties:
Energy relative to the elements = 372 meV/atom
Space group = No. 12

CIF file:
```
data_CaAlOs2
_chemical_formula_sum 'Ca1 Al1 Os2'
_cell_length_a 2.7284
_cell_length_b 5.2165
_cell_length_c 5.2890
_cell_angle_alpha 118.30
_cell_angle_beta 102.80
_cell_angle_gamma 94.22
_symmetry_space_group_name_H-M 'P 1'
_symmetry_Int_Tables_number 1
loop_
_symmetry_equiv_pos_as_xyz
'x,y,z'
loop_
_atom_site_label
_atom_site_fract_x
_atom_site_fract_y
_atom_site_fract_z
Ca1 0.5000 0.0000 0.0000
Os1 0.5000 0.5000 0.5000
Os2 0.0000 0.0000 0.5000
Al1 0.0000 0.5000 0.0000
```